[1]
The following is a DFT calculation (GGA-PBE) of a relaxed structure of TbCeSmY.

Unit cell a=8.0614 b=8.0614 c=8.0614 alpha=90.00 beta=90.00 gamma=90.00
Space group F-43m (No. 216)
One atom of each set of equivalent atoms:
Tb 0.0000 0.0000 0.0000 [4 per cell]
Ce 0.2500 0.2500 0.2500 [4 per cell]
Sm 0.2500 0.2500 0.7500 [4 per cell]
Y 0.0000 0.0000 0.5000 [4 per cell]

## Properties
The value obtained for the volume is 524 Å³/cell.


[2]
The following is a DFT calculation (GGA-PBE) of a relaxed structure of NaPt2.

Unit cell a=6.2572 b=6.2572 c=6.2572 alpha=90.00 beta=90.00 gamma=90.00
Space group Pa-3 (No. 205)
One atom of each set of equivalent atoms:
Na 0.0000 0.0000 0.0000 [4 per cell]
Pt 0.1164 0.6164 0.8836 [8 per cell]

## Properties
The value obtained for the volume is 245 Å³/cell. The value obtained for the energy above the most stable polymorph in this dataset is 1451.4 meV/atom.


[3]
The following is a DFT calculation (GGA-PBE) of a relaxed structure of RbYMnBe2.

Unit cell a=4.6215 b=4.6215 c=5.2307 alpha=90.00 beta=90.00 gamma=90.00
Space group P4/mmm (No. 123)
One atom of each set of equivalent atoms:
Rb 0.0000 0.0000 0.0000 [1 per cell]
Y 0.0000 0.0000 0.5000 [1 per cell]
Mn 0.5000 0.5000 0.5000 [1 per cell]
Be 0.0000 0.5000 0.0000 [2 per cell]

## Properties
The value obtained for the volume is 112 Å³/cell.


[4]
The following is a DFT calculation (GGA-PBE) of a relaxed structure of Ac2Ni9Hg.

Unit cell a=5.0662 b=5.0662 c=25.2544 alpha=90.00 beta=90.00 gamma=120.00
Space group R-3m (No. 166, hexagonal axes)
One atom of each set of equivalent atoms:
Ac 0.0000 0.0000 0.1327 [6 per cell]
Ni 0.0000 0.0000 0.3323 [6 per cell]
Ni 0.0000 0.0000 0.5000 [3 per cell]
Ni 0.0014 0.5007 0.0777 [18 per cell]
Hg 0.0000 0.0000 0.0000 [3 per cell]

## Properties
The value obtained for the volume is 561 Å³/cell.


[5]
The following is a DFT calculation (GGA-PBE) of a relaxed structure of DyCuSi2Pt.

Unit cell a=4.0448 b=4.0448 c=10.1139 alpha=90.00 beta=90.00 gamma=90.00
Space group I-4m2 (No. 119)
One atom of each set of equivalent atoms:
Dy 0.0000 0.0000 0.0000 [2 per cell]
Cu 0.0000 0.5000 0.7500 [2 per cell]
Si 0.0000 0.0000 0.3847 [4 per cell]
Pt 0.0000 0.5000 0.2500 [2 per cell]

## Properties
The formation energy without anion corrections is -0.851 eV per atom. The value obtained for the volume is 165 Å³/cell.


[6]
The following is a DFT calculation (GGA-PBE) of a relaxed structure of Pu2Ni4Ge3Ru.

Unit cell a=3.8680 b=3.8680 c=10.7223 alpha=90.00 beta=90.00 gamma=90.00
Space group P-4m2 (No. 115)
One atom of each set of equivalent atoms:
Pu 0.0000 0.5000 0.2416 [2 per cell]
Ni 0.0000 0.0000 0.5000 [1 per cell]
Ni 0.0000 0.5000 0.8494 [2 per cell]
Ni 0.5000 0.5000 0.5000 [1 per cell]
Ge 0.0000 0.0000 0.0000 [1 per cell]
Ge 0.0000 0.5000 0.6287 [2 per cell]
Ru 0.5000 0.5000 0.0000 [1 per cell]

## Properties
The value obtained for the volume is 160 Å³/cell.


[7]
The following is a DFT calculation (GGA-PBE) of a relaxed structure of TmHfCdAu.

Unit cell a=7.0558 b=7.0558 c=7.0558 alpha=90.00 beta=90.00 gamma=90.00
Space group F-43m (No. 216)
One atom of each set of equivalent atoms:
Tm 0.0000 0.0000 0.0000 [4 per cell]
Hf 0.0000 0.0000 0.5000 [4 per cell]
Cd 0.2500 0.2500 0.2500 [4 per cell]
Au 0.2500 0.2500 0.7500 [4 per cell]

## Properties
The value obtained for the volume is 351 Å³/cell.


[8]
The following is a DFT calculation (GGA-PBE) of a relaxed structure of HfOsSCl2.

Unit cell a=4.6683 b=4.6683 c=4.6634 alpha=90.00 beta=90.00 gamma=90.00
Space group P4/mmm (No. 123)
One atom of each set of equivalent atoms:
Hf 0.0000 0.0000 0.0000 [1 per cell]
Os 0.5000 0.5000 0.5000 [1 per cell]
S 0.5000 0.5000 0.0000 [1 per cell]
Cl 0.0000 0.5000 0.5000 [2 per cell]

## Properties
The formation energy without anion corrections is 0.644 eV per atom. The value obtained for the volume is 102 Å³/cell. The value obtained for the energy above the most stable polymorph in this dataset is 228.5 meV/atom.


[9]
The following is a DFT calculation (GGA-PBE) of a relaxed structure of Sr3Ir.

Unit cell a=4.2166 b=4.2166 c=10.8242 alpha=90.00 beta=90.00 gamma=120.00
Space group P-6m2 (No. 187)
One atom of each set of equivalent atoms:
Sr 0.0000 0.0000 0.0000 [1 per cell]
Sr 0.6667 0.3333 0.3399 [2 per cell]
Ir 0.0000 0.0000 0.5000 [1 per cell]

## Properties
The value obtained for the volume is 167 Å³/cell.


[10]
The following is a DFT calculation (GGA-PBE) of a relaxed structure of Ce6PuGe2.

Unit cell a=5.3935 b=6.7780 c=13.2180 alpha=90.00 beta=90.00 gamma=90.00
Space group Immm (No. 71)
One atom of each set of equivalent atoms:
Ce 0.0000 0.2043 0.0000 [4 per cell]
Ce 0.0000 0.2522 0.3568 [8 per cell]
Pu 0.0000 0.5000 0.5000 [2 per cell]
Ge 0.0000 0.5000 0.1686 [4 per cell]

## Properties
The value obtained for the volume is 483 Å³/cell.


[11]
The following is a DFT calculation (GGA-PBE) of a relaxed structure of BeCoP2.

Unit cell a=3.7469 b=3.7469 c=6.4323 alpha=90.00 beta=90.00 gamma=90.00
Space group I4/mmm (No. 139)
One atom of each set of equivalent atoms:
Be 0.0000 0.0000 0.0000 [2 per cell]
Co 0.0000 0.0000 0.5000 [2 per cell]
P 0.0000 0.5000 0.2500 [4 per cell]

## Properties
The value obtained for the volume is 90 Å³/cell.


[12]
The following is a DFT calculation (GGA-PBE) of a relaxed structure of CaP3Ir.

Unit cell a=4.7284 b=4.7284 c=4.7284 alpha=90.00 beta=90.00 gamma=90.00
Space group Pm-3m (No. 221)
One atom of each set of equivalent atoms:
Ca 0.0000 0.0000 0.0000 [1 per cell]
P 0.0000 0.5000 0.5000 [3 per cell]
Ir 0.5000 0.5000 0.5000 [1 per cell]

## Properties
The value obtained for the volume is 106 Å³/cell. The value obtained for the energy above the most stable polymorph in this dataset is 0.0 meV/atom.


no.,E_tot (eV/f.u.),total moment (μB/f.u.),N(E_F) (states/eV/atom)
1,-21.05,1.111,2.70
2,-10.21,0.206,2.25
3,-10.70,0.123,0.96
4,-60.98,2.134,0.90
5,-29.84,0.000,0.41
6,-78.56,10.053,2.52
7,-19.80,0.739,0.80
8,-25.79,0.001,1.19
9,-13.49,0.001,0.86
10,-60.74,1.598,2.15
11,-20.86,0.000,0.43
12,-26.46,0.000,0.89